Entry 1:
The following is a DFT calculation (SCAN) of a PBEsol-optimized structure of ZrNb3Co.

Magnetization, μB per cell: 2.42
Formation energy, eV/atom: 1.915
V, Å³/cell: 109.2
Total energy, eV/atom: -27.563
DOS(E_F), states/eV/f.u.: 6.28

CIF file:
```
data_ZrNb3Co
_chemical_formula_sum 'Zr1 Nb3 Co1'
_cell_length_a 4.780
_cell_length_b 4.780
_cell_length_c 4.780
_cell_angle_alpha 90.00
_cell_angle_beta 90.00
_cell_angle_gamma 90.00
_space_group_name_H-M_alt 'P m -3 m'
_space_group_IT_number 221
_space_group_name_Hall '-P 4 2 3'
loop_
_atom_site_label
_atom_site_type_symbol
_atom_site_fract_x
_atom_site_fract_y
_atom_site_fract_z
_atom_site_occupancy
Zr1 Zr 0.000 0.000 0.000 1
Nb1 Nb 0.000 0.000 0.500 1
Co1 Co 0.500 0.500 0.500 1
```


Entry 2:
The following is a DFT calculation (SCAN) of a PBEsol-optimized structure of H2PbCl.

Magnetization, μB per cell: 0.00
V, Å³/cell: 255.0
Total energy, eV/atom: -22.580
DOS(E_F), states/eV/f.u.: 0.52

CIF file:
```
data_H2PbCl
_chemical_formula_sum 'H8 Pb4 Cl4'
_cell_length_a 4.499
_cell_length_b 4.499
_cell_length_c 12.598
_cell_angle_alpha 90.00
_cell_angle_beta 90.00
_cell_angle_gamma 90.00
_space_group_name_H-M_alt 'I 41/a m d'
_space_group_IT_number 141
loop_
_space_group_symop_operation_xyz
'x,y,z'
'-x,-y,-z'
'-y+1/4,x+3/4,z+1/4'
'y+1/4,-x+3/4,-z+1/4'
'-x+1/2,-y,z+1/2'
'x+1/2,y,-z+1/2'
'y+1/4,-x+1/4,z+3/4'
'-y+1/4,x+1/4,-z+3/4'
'x,-y,-z'
'-x,y,z'
'-y+1/4,-x+1/4,-z+3/4'
'y+1/4,x+1/4,z+3/4'
'-x+1/2,y,-z+1/2'
'x+1/2,-y,z+1/2'
'y+1/4,x+3/4,-z+1/4'
'-y+1/4,-x+3/4,z+1/4'
'x+1/2,y+1/2,z+1/2'
'-x+1/2,-y+1/2,-z+1/2'
'-y+3/4,x+1/4,z+3/4'
'y+3/4,-x+1/4,-z+3/4'
'-x,-y+1/2,z'
'x,y+1/2,-z'
'y+3/4,-x+3/4,z+1/4'
'-y+3/4,x+3/4,-z+1/4'
'x+1/2,-y+1/2,-z+1/2'
'-x+1/2,y+1/2,z+1/2'
'-y+3/4,-x+3/4,-z+1/4'
'y+3/4,x+3/4,z+1/4'
'-x,y+1/2,-z'
'x,-y+1/2,z'
'y+3/4,x+1/4,-z+3/4'
'-y+3/4,-x+1/4,z+3/4'
loop_
_atom_site_label
_atom_site_type_symbol
_atom_site_fract_x
_atom_site_fract_y
_atom_site_fract_z
_atom_site_occupancy
H1 H 0.000 0.000 0.000 1
Pb1 Pb 0.000 0.250 0.875 1
Cl1 Cl 0.000 0.250 0.375 1
```


Entry 3:
The following is a DFT calculation (SCAN) of a PBEsol-optimized structure of Cd2SbBr.

Formation energy (no corrections), meV per atom: -361
Magnetization, μB per cell: 0.00
V, Å³/cell: 539.9
Total energy, eV/atom: -29.748
Relative energy among the computed polymorphs, eV per atom: 0.0000

CIF file:
```
data_Cd2SbBr
_chemical_formula_sum 'Cd8 Sb4 Br4'
_cell_length_a 6.319
_cell_length_b 6.319
_cell_length_c 13.522
_cell_angle_alpha 90.00
_cell_angle_beta 90.00
_cell_angle_gamma 90.00
_space_group_name_H-M_alt 'I -4 2 d'
_space_group_IT_number 122
_space_group_name_Hall 'I -4 2bw'
loop_
_atom_site_label
_atom_site_type_symbol
_atom_site_fract_x
_atom_site_fract_y
_atom_site_fract_z
_atom_site_occupancy
Cd1 Cd 0.225 0.250 0.125 1
Sb1 Sb 0.000 0.000 0.000 1
Br1 Br 0.000 0.000 0.500 1
```


Entry 4:
The following is a DFT calculation (SCAN) of a PBEsol-optimized structure of BaTiSe3.

Formation energy (no corrections), meV per atom: -1604
Magnetization, μB per cell: 0.00
V, Å³/cell: 124.8
Total energy, eV/atom: -24.768
DOS(E_F), states/eV/f.u.: 1.64

CIF file:
```
data_BaTiSe3
_chemical_formula_sum 'Ba1 Ti1 Se3'
_cell_length_a 4.998
_cell_length_b 4.998
_cell_length_c 4.998
_cell_angle_alpha 90.00
_cell_angle_beta 90.00
_cell_angle_gamma 90.00
_space_group_name_H-M_alt 'P m -3 m'
_space_group_IT_number 221
_space_group_name_Hall '-P 4 2 3'
loop_
_atom_site_label
_atom_site_type_symbol
_atom_site_fract_x
_atom_site_fract_y
_atom_site_fract_z
_atom_site_occupancy
Ba1 Ba 0.000 0.000 0.000 1
Ti1 Ti 0.500 0.500 0.500 1
Se1 Se 0.000 0.500 0.500 1
```


Entry 5:
The following is a DFT calculation (SCAN) of a PBEsol-optimized structure of MnBeMo3.

Magnetization, μB per cell: 0.00
Formation energy, eV/atom: 1.368
V, Å³/cell: 83.1
Total energy, eV/atom: -24.084
DOS(E_F), states/eV/f.u.: 4.11

CIF file:
```
data_MnBeMo3
_chemical_formula_sum 'Mn1 Be1 Mo3'
_cell_length_a 4.364
_cell_length_b 4.364
_cell_length_c 4.364
_cell_angle_alpha 90.00
_cell_angle_beta 90.00
_cell_angle_gamma 90.00
_space_group_name_H-M_alt 'P m -3 m'
_space_group_IT_number 221
_space_group_name_Hall '-P 4 2 3'
loop_
_atom_site_label
_atom_site_type_symbol
_atom_site_fract_x
_atom_site_fract_y
_atom_site_fract_z
_atom_site_occupancy
Mn1 Mn 0.000 0.000 0.000 1
Be1 Be 0.500 0.500 0.500 1
Mo1 Mo 0.000 0.000 0.500 1
```


Entry 6:
The following is a DFT calculation (SCAN) of a PBEsol-optimized structure of Mg2TlCd.

Magnetization, μB per cell: 0.00
Formation energy, eV/atom: -0.135
V, Å³/cell: 88.5
Total energy, eV/atom: -28.315
DOS(E_F), states/eV/f.u.: 1.23

CIF file:
```
data_Mg2TlCd
_chemical_formula_sum 'Mg2 Tl1 Cd1'
_cell_length_a 3.623
_cell_length_b 4.943
_cell_length_c 4.944
_cell_angle_alpha 90.00
_cell_angle_beta 90.00
_cell_angle_gamma 90.00
_space_group_name_H-M_alt 'P m m 2'
_space_group_IT_number 25
loop_
_space_group_symop_operation_xyz
'x,y,z'
'-x,-y,z'
'-x,y,z'
'x,-y,z'
loop_
_atom_site_label
_atom_site_type_symbol
_atom_site_fract_x
_atom_site_fract_y
_atom_site_fract_z
_atom_site_occupancy
Mg1 Mg 0.000 0.000 0.000 1
Mg2 Mg 0.000 0.500 0.489 1
Tl1 Tl 0.500 0.500 0.989 1
Cd1 Cd 0.500 0.000 0.499 1
```